Entry 1:
The following is a PBE calculation of an optimized crystal structure of RbZrGa, from the Alexandria database.

Cell: 17.981 9.454 9.454 Å, 135.84 155.68 24.32°
Atoms (fractional coordinates):
1 Rb 0.864 0.795 0.205
2 Rb 0.936 0.372 0.628
3 Ga 0.405 0.897 0.747
4 Ga 0.405 0.253 0.103
5 Zr 0.938 0.996 0.004
6 Zr 0.416 0.656 0.344

---

Entry 2:
The following is a PBE calculation of an optimized crystal structure of RbZrGa, from the Alexandria database.

Cell: 8.094 3.426 14.061 Å, 90.00 90.00 90.00°
Atoms (fractional coordinates):
1 Ga 0.882 0.250 0.720
2 Ga 0.382 0.250 0.780
3 Ga 0.118 0.750 0.280
4 Ga 0.618 0.750 0.220
5 Zr 0.386 0.250 0.300
6 Zr 0.114 0.750 0.800
7 Zr 0.614 0.750 0.700
8 Zr 0.886 0.250 0.200
9 Rb 0.724 0.750 0.950
10 Rb 0.224 0.750 0.550
11 Rb 0.276 0.250 0.050
12 Rb 0.776 0.250 0.450

---

Entry 3:
The following is a PBE calculation of an optimized crystal structure of RbZrGa, from the Alexandria database.

Cell: 13.010 4.788 4.324 Å, 63.12 89.02 78.98°
Atoms (fractional coordinates):
1 Zr 0.074 0.643 0.690
2 Zr 0.931 0.005 0.016
3 Ga 0.859 0.673 0.686
4 Ga 0.021 0.312 0.358
5 Rb 0.318 0.099 0.450
6 Rb 0.663 0.440 0.314

---

So what do the calculations give for theoretical density? Going down the list: 4.027, 4.198, 3.482 Mg/m³.
So what do the calculations give for calculated formation energy? Going down the list: 276, 265, 74 meV per atom.